ZrAl2Mo after structural relaxation. Source: Alexandria, functional PBE.

## Properties
As for the space-group type: No. 35. Its calculated density is 5.7 g/cm³. The excess energy over the best structure of this formula in the dataset comes out at 221 meV/atom.

```
4
Lattice="2.913 0.027 0.000 -0.817 2.796 0.000 0.000 0.000 8.636" Properties=species:S:1:pos:R:3 pbc="T T T"
Mo 0.000 0.000 4.165
Al 0.000 0.000 0.132
Al 1.048 1.411 2.224
Zr 1.048 1.411 6.434
```

=====

Y2Tm7Tl2 after structural relaxation. Source: Alexandria, functional PBE.

## Properties
As for the total energy: -4.3726 eV/atom. As for the space-group type: No. 12. Its calculated density is 8.8 g/cm³.

```
11
Lattice="-1.536 -3.034 -5.488 6.474 -3.224 2.358 -4.868 -2.646 5.213" Properties=species:S:1:pos:R:3 pbc="T T T"
Y -3.285 -2.726 4.814
Y 4.891 -3.144 2.757
Tm 2.941 -6.253 0.582
Tm 2.971 -2.948 0.031
Tm -2.871 -2.650 1.501
Tm -2.901 -5.955 2.052
Tm -0.768 -1.517 -2.744
Tm -0.418 -6.841 -0.273
Tm 0.488 -2.063 2.356
Tl -0.275 -3.486 -0.385
Tl 0.345 -5.417 2.468
```

=====

Ce2GeAs3Rh4 after structural relaxation. Source: Alexandria, functional PBE.

## Properties
As for the total energy: -6.9021 eV/atom. As for the space-group type: No. 115. Its calculated density is 9.0 g/cm³.

```
10
Lattice="-4.051 -0.877 0.887 -0.767 -0.626 -4.121 2.350 -9.790 1.049" Properties=species:S:1:pos:R:3 pbc="T T T"
Ce -1.435 -2.898 0.707
Ce 1.376 -7.643 -1.275
Ge -1.234 -5.646 -1.093
As 1.175 -4.895 0.525
As 0.002 -8.884 1.348
As -0.061 -1.658 -1.917
Rh -2.409 -0.751 -1.617
Rh 0.000 0.000 0.000
Rh -0.557 -6.556 1.099
Rh 0.498 -3.985 -1.667
```

=====

PmEr7Cd2 after structural relaxation. Source: Alexandria, functional PBE.

## Properties
As for the total energy: -3.4313 eV/atom. As for the space-group type: No. 65. Its calculated density is 7.0 g/cm³.

```
10
Lattice="-0.896 2.304 4.739 -1.385 -7.956 3.607 8.196 3.322 -0.066" Properties=species:S:1:pos:R:3 pbc="T T T"
Pm 0.000 0.000 0.000
Er 0.846 -5.330 2.751
Er 5.965 0.696 0.789
Er 1.934 1.664 2.571
Er 3.982 -3.994 5.709
Er -0.362 -1.039 3.451
Er 6.278 -1.291 4.829
Er 2.958 -1.165 4.140
Cd 1.076 -3.380 4.861
Cd 4.840 1.050 3.419
```

=====

VH3I after structural relaxation. Source: Alexandria, functional PBE.

## Properties
As for the space-group type: No. 221. Its calculated density is 5.6 g/cm³. The excess energy over the best structure of this formula in the dataset comes out at 0 meV/atom.

```
5
Lattice="-1.625 -3.252 -1.037 0.981 -1.545 3.308 -3.269 1.153 1.508" Properties=species:S:1:pos:R:3 pbc="T T T"
I -1.957 -1.822 1.889
H 0.490 -0.773 1.654
H -1.635 0.577 0.754
H -0.813 -1.626 -0.519
V 0.000 0.000 0.000
```

=====

Tc2As2Pt after structural relaxation. Source: Alexandria, functional PBE.

## Properties
As for the space-group type: No. 127. Its calculated density is 11.8 g/cm³. The excess energy over the best structure of this formula in the dataset comes out at 0 meV/atom.

```
10
Lattice="-3.162 2.697 -5.880 3.207 -5.030 -4.032 -2.292 -1.791 0.411" Properties=species:S:1:pos:R:3 pbc="T T T"
As 1.619 -3.333 -5.490
As -0.606 -0.974 -7.620
As -1.574 1.000 -4.422
As 0.651 -1.360 -2.292
Tc 0.464 -3.758 -3.284
Tc -0.467 -3.428 -7.041
Tc -2.712 -0.367 -6.216
Tc -1.780 -0.696 -2.460
Pt 0.000 0.000 0.000
Pt 0.022 -1.167 -4.956
```

=====

BaTePt2 after structural relaxation. Source: Alexandria, functional PBE.

## Properties
As for the total energy: -4.4899 eV/atom. As for the space-group type: No. 123. Its calculated density is 11.2 g/cm³.

```
4
Lattice="-1.116 -2.973 1.680 3.334 -0.564 1.215 -1.552 4.050 6.136" Properties=species:S:1:pos:R:3 pbc="T T T"
Ba -0.055 1.269 6.050
Pt -0.089 0.233 0.353
Pt -0.687 1.792 2.715
Te 0.721 -0.756 2.982
```

=====

La4Nd3Dy2 after structural relaxation. Source: Alexandria, functional PBE.

## Properties
As for the space-group type: No. 12. Its calculated density is 6.7 g/cm³. The excess energy over the best structure of this formula in the dataset comes out at 66 meV/atom.

```
9
Lattice="3.732 0.000 0.000 -1.866 6.377 1.398 0.000 3.716 14.459" Properties=species:S:1:pos:R:3 pbc="T T T"
La 1.866 2.425 2.271
La 0.000 3.681 9.042
La 1.866 6.413 6.815
La 0.000 7.668 13.587
Nd 0.000 7.155 9.985
Nd 0.000 0.000 0.000
Nd 1.866 2.938 5.872
Dy 0.000 5.173 4.007
Dy 1.866 4.920 11.850
```

=====

CePrSb2 after structural relaxation. Source: Alexandria, functional PBE.

## Properties
As for the space-group type: No. 160. Its calculated density is 6.5 g/cm³. The excess energy over the best structure of this formula in the dataset comes out at 129 meV/atom.

```
4
Lattice="-1.452 1.872 -3.769 1.765 -1.203 -3.906 -5.296 -5.394 -3.268" Properties=species:S:1:pos:R:3 pbc="T T T"
Ce -2.526 -2.399 -5.476
Pr -5.047 -4.906 -8.380
Sb -3.948 -3.992 -3.091
Sb -1.249 -1.185 -2.736
```

=====

UPOs after structural relaxation. Source: Alexandria, functional PBE.

## Properties
As for the total energy: -9.3352 eV/atom. As for the space-group type: No. 107. Its calculated density is 13.5 g/cm³.

```
3
Lattice="3.691 0.000 0.000 0.000 3.691 0.000 -1.845 -1.845 4.147" Properties=species:S:1:pos:R:3 pbc="T T T"
U 1.845 1.845 3.582
Os 0.000 0.000 2.623
P 1.845 1.845 0.843
```

=====

TcHSe2 after structural relaxation. Source: Alexandria, functional PBE.

## Properties
As for the space-group type: No. 15. Its calculated density is 5.8 g/cm³. The excess energy over the best structure of this formula in the dataset comes out at 67 meV/atom.

```
32
Lattice="-9.011 0.422 -13.128 -4.415 -5.896 -0.464 -4.057 -1.182 6.051" Properties=species:S:1:pos:R:3 pbc="T T T"
H -3.351 -1.078 -0.523
H -9.054 -5.310 -0.832
H -14.132 -5.578 -7.018
H -8.429 -1.346 -6.710
H -6.958 -2.406 0.256
H -5.936 -2.184 2.087
H -10.525 -4.250 -7.798
H -11.547 -4.472 -9.629
Tc -6.732 -2.935 -3.568
Tc -8.414 -5.744 4.021
Tc -10.751 -3.722 -3.974
Tc -9.068 -0.912 -11.562
Tc -5.168 -0.464 -3.293
Tc -6.746 -5.515 1.615
Tc -12.315 -6.192 -4.248
Tc -10.737 -1.141 -9.156
Se -6.101 -5.046 3.929
Se -6.272 -1.316 -5.304
Se -11.382 -1.610 -11.470
Se -11.211 -5.340 -2.237
Se -8.203 -0.687 -9.290
Se -12.035 -4.296 -5.970
Se -9.279 -5.969 1.749
Se -5.448 -2.361 -1.571
Se -8.538 -4.341 -4.925
Se -4.507 -4.790 0.617
Se -8.945 -2.316 -2.616
Se -12.975 -1.866 -8.158
Se -9.801 -1.123 -6.152
Se -7.682 -5.534 -1.389
Se -10.275 -3.725 -9.215
Se -7.208 -2.931 1.674
```

=====

NaPuSn2Te4 after structural relaxation. Source: Alexandria, functional PBE.

## Properties
As for the total energy: -5.1320 eV/atom. As for the space-group type: No. 10. Its calculated density is 6.4 g/cm³.

```
8
Lattice="4.505 0.000 0.000 0.000 7.946 -0.242 0.000 2.713 7.252" Properties=species:S:1:pos:R:3 pbc="T T T"
Na 2.253 3.973 -0.121
Pu 0.000 5.330 3.505
Sn 0.000 2.713 7.252
Sn 2.253 1.357 3.626
Te 0.000 7.974 5.194
Te 4.505 2.686 1.816
Te 2.253 6.624 1.700
Te 2.253 4.035 5.310
```

=====

DyYThAl after structural relaxation. Source: Alexandria, functional PBE.

## Properties
As for the total energy: -5.5841 eV/atom. As for the space-group type: No. 216. Its calculated density is 7.7 g/cm³.

```
4
Lattice="5.387 0.000 0.000 2.693 4.665 0.000 2.693 1.555 4.398" Properties=species:S:1:pos:R:3 pbc="T T T"
Y 8.080 4.665 3.299
Al 0.000 0.000 0.000
Th 2.693 1.555 1.100
Dy 5.387 3.110 2.199
```

=====

SiH2F6 after structural relaxation. Source: Alexandria, functional PBE.

## Properties
As for the space-group type: No. 15. Its calculated density is 1.9 g/cm³. The excess energy over the best structure of this formula in the dataset comes out at 0 meV/atom.

```
18
Lattice="3.991 -0.007 1.318 1.752 7.811 1.039 -0.546 1.170 7.968" Properties=species:S:1:pos:R:3 pbc="T T T"
Si 0.971 2.671 6.730
Si 4.225 6.304 3.595
H 4.723 6.466 7.917
H 2.419 2.360 3.217
H 0.474 2.508 2.407
H 2.778 6.614 7.107
F 2.074 6.951 6.481
F 1.411 2.848 2.328
F 3.122 2.023 3.844
F 3.785 6.126 7.997
F 4.704 6.347 5.101
F 3.319 5.026 3.376
F 0.493 2.627 5.224
F 1.877 3.948 6.949
F 1.491 6.241 1.318
F 3.397 7.610 3.263
F 3.705 2.734 9.006
F 1.800 1.364 7.062
```

=====

CaBrO3 after structural relaxation. Source: Alexandria, functional PBE.

## Properties
As for the total energy: -3.5377 eV/atom. As for the space-group type: No. 221. Its calculated density is 3.4 g/cm³.

```
5
Lattice="4.343 0.000 0.000 0.000 4.343 0.000 0.000 0.000 4.343" Properties=species:S:1:pos:R:3 pbc="T T T"
Ca 0.000 0.000 0.000
O 0.000 2.171 0.000
O 0.000 0.000 2.171
O 2.171 0.000 0.000
Br 2.171 2.171 2.171
```

=====

Li2Tl2Hg after structural relaxation. Source: Alexandria, functional PBE.

## Properties
As for the space-group type: No. 71. Its calculated density is 9.0 g/cm³. The excess energy over the best structure of this formula in the dataset comes out at 23 meV/atom.

```
5
Lattice="4.076 0.000 1.202 1.629 5.100 1.990 0.538 0.029 5.686" Properties=species:S:1:pos:R:3 pbc="T T T"
Li 2.872 1.406 5.284
Li 3.371 3.724 3.595
Tl 1.471 1.525 2.526
Tl 4.773 3.605 6.353
Hg 0.000 0.000 0.000
```

=====

Cs8Hg6H after structural relaxation. Source: Alexandria, functional PBE.

## Properties
As for the total energy: -0.9711 eV/atom. As for the space-group type: No. 148. Its calculated density is 4.6 g/cm³.

```
15
Lattice="-3.286 4.141 8.110 -3.957 -7.158 5.178 6.481 -2.164 6.857" Properties=species:S:1:pos:R:3 pbc="T T T"
Cs 2.656 -6.286 10.852
Cs -1.706 -6.424 7.420
Cs 4.152 -1.284 8.964
Cs -0.483 -3.283 12.763
Cs -0.279 -1.899 7.382
Cs -4.914 -3.897 11.180
Cs 0.943 1.243 12.724
Cs -3.418 1.104 9.292
Hg 2.130 -4.812 7.308
Hg -1.704 -6.545 11.293
Hg 3.210 -2.511 12.516
Hg -3.972 -2.671 7.628
Hg 0.942 1.363 8.852
Hg -2.892 -0.370 12.836
H 0.000 0.000 0.000
```

=====

Th8Bi2Ru3 after structural relaxation. Source: Alexandria, functional PBE.

## Properties
As for the total energy: -7.5556 eV/atom. As for the space-group type: No. 12. Its calculated density is 9.5 g/cm³.

```
13
Lattice="-6.758 -1.589 1.429 -1.355 -1.289 -7.843 4.739 -6.452 4.386" Properties=species:S:1:pos:R:3 pbc="T T T"
Th -6.003 -3.489 -2.533
Th 2.629 -5.841 0.506
Th -5.240 -2.771 1.361
Th 1.866 -6.559 -3.389
Th -1.167 -6.971 -0.701
Th -0.497 -6.333 3.175
Th -2.877 -2.996 -5.203
Th -2.207 -2.359 -1.327
Bi -0.189 -4.059 0.700
Bi -3.185 -5.271 -2.728
Ru -3.379 -0.794 0.714
Ru -0.344 -0.327 -1.992
Ru -1.011 -0.962 -5.850
```

=====

Na2CaHgBi2 after structural relaxation. Source: Alexandria, functional PBE.

## Properties
As for the total energy: -2.5753 eV/atom. As for the space-group type: No. 26. Its calculated density is 6.4 g/cm³.

```
12
Lattice="-3.695 1.698 -2.528 -0.088 -6.739 -4.398 -6.015 -3.933 6.148" Properties=species:S:1:pos:R:3 pbc="T T T"
Na -2.278 0.229 -1.051
Na -1.095 -3.145 -0.512
Na -7.484 -6.516 2.026
Na -5.028 -9.058 1.264
Ca -2.770 -8.332 -1.548
Ca -3.373 -5.385 1.312
Hg -6.030 -2.777 2.413
Hg -3.747 -4.625 -2.165
Bi -5.129 -5.125 4.052
Bi -4.164 -2.383 -0.050
Bi -0.977 -5.751 -2.435
Bi -5.635 -6.686 -0.791
```

=====

PmLuMgSi after structural relaxation. Source: Alexandria, functional PBE.

## Properties
As for the total energy: -4.3277 eV/atom. As for the space-group type: No. 216. Its calculated density is 6.6 g/cm³.

```
4
Lattice="-4.092 -0.057 -3.045 -0.282 -3.357 -3.830 -3.307 -3.876 0.244" Properties=species:S:1:pos:R:3 pbc="T T T"
Si -5.761 -5.467 -4.973
Lu -3.841 -3.645 -3.316
Mg -1.920 -1.822 -1.658
Pm 0.000 0.000 0.000
```

=====

Fe2MoIr after structural relaxation. Source: Alexandria, functional PBE.

## Properties
As for the total energy: -9.0444 eV/atom. As for the space-group type: No. 123. Its calculated density is 12.9 g/cm³.

```
4
Lattice="2.652 0.008 0.000 -0.008 2.652 0.000 0.000 0.000 7.309" Properties=species:S:1:pos:R:3 pbc="T T T"
Fe 0.000 0.000 0.053
Fe 0.000 0.000 3.601
Ir 1.322 1.330 1.827
Mo 1.322 1.330 5.482
```

=====

LiY2CuH after structural relaxation. Source: Alexandria, functional PBE.

## Properties
As for the space-group type: No. 123. Its calculated density is 3.9 g/cm³. The excess energy over the best structure of this formula in the dataset comes out at 563 meV/atom.

```
5
Lattice="-4.001 3.689 -1.189 -1.946 -2.538 -1.327 -2.285 -0.865 5.007" Properties=species:S:1:pos:R:3 pbc="T T T"
Y -1.143 -0.433 2.503
Y -2.001 1.845 -0.594
H -0.973 -1.269 -0.663
Cu 0.000 0.000 0.000
Li -4.116 0.143 1.245
```

=====

TaAu3O after structural relaxation. Source: Alexandria, functional PBE.

## Properties
As for the space-group type: No. 221. Its calculated density is 14.8 g/cm³. The excess energy over the best structure of this formula in the dataset comes out at 0 meV/atom.

```
5
Lattice="-3.616 1.475 -2.137 -2.450 -3.153 1.969 -0.861 2.775 3.372" Properties=species:S:1:pos:R:3 pbc="T T T"
Au -1.225 -1.576 0.984
Au -0.431 1.388 1.686
Au -1.808 0.737 -1.069
O 0.000 0.000 0.000
Ta -3.463 0.549 1.602
```

=====

Mn3SiMo2 after structural relaxation. Source: Alexandria, functional PBE.

## Properties
As for the total energy: -9.3346 eV/atom. As for the space-group type: No. 166. Its calculated density is 8.3 g/cm³.

```
6
Lattice="4.218 -0.124 -2.208 -2.683 3.929 -0.208 -0.189 0.123 4.766" Properties=species:S:1:pos:R:3 pbc="T T T"
Mn 0.673 1.964 1.175
Mn -0.095 0.062 2.383
Mn 2.014 0.000 1.279
Si 0.000 0.000 0.000
Mo 2.137 1.400 -1.129
Mo -0.792 2.528 3.479
```